# 1
Crystalline SiTe3W at its relaxed geometry, computed with PBE.

Output
Space group = Pm-3m, No. 221
Uncorrected formation energy = 0.960 eV per atom
Relative energy among the computed polymorphs = 0 meV/atom

abc: 5.3042 5.3042 5.3042
angles: 90.00 90.00 90.00
Last column: magnetic moment on the atom in μB.
Atoms (fractional coordinates):
Te 0.0000 0.0000 0.5000  -0.07
Te 0.5000 0.0000 0.0000  -0.06
Te 0.0000 0.5000 0.0000  -0.05
Si 0.5000 0.5000 0.5000  0.29
W 0.0000 0.0000 0.0000  0.54

# 2
Crystalline Sr2Zn3CdAu6 at its relaxed geometry, computed with PBE.

Output
Space group = P4/mmm, No. 123
ΔE_f = -0.293 eV per atom

abc: 4.3205 4.3205 16.8419
angles: 90.00 90.00 90.00
Atoms (fractional coordinates):
Cd 0.5000 0.5000 0.5000
Au 0.5000 0.0000 0.6131
Au 0.0000 0.5000 0.6131
Au 0.5000 0.0000 0.3869
Au 0.0000 0.0000 0.8514
Au 0.0000 0.0000 0.1486
Au 0.0000 0.5000 0.3869
Zn 0.0000 0.0000 0.3003
Zn 0.0000 0.0000 0.0000
Zn 0.0000 0.0000 0.6997
Sr 0.5000 0.5000 0.7809
Sr 0.5000 0.5000 0.2191

# 3
Crystalline Tm3P2Rh9Pb at its relaxed geometry, computed with PBE.

Output
Space group = P-3m1, No. 164
ΔE_f = -0.615 eV per atom

abc: 6.0321 6.0321 9.4960
angles: 90.00 90.00 120.00
Atoms (fractional coordinates):
Rh 0.0000 0.5000 0.0000
Rh 0.5000 0.0000 0.0000
Rh 0.2985 0.1493 0.7389
Rh 0.1493 0.8507 0.2611
Rh 0.8507 0.7015 0.7389
Rh 0.1493 0.2985 0.2611
Rh 0.8507 0.1493 0.7389
Rh 0.5000 0.5000 0.0000
Rh 0.7015 0.8507 0.2611
Pb 0.0000 0.0000 0.5000
P 0.6667 0.3333 0.8428
P 0.3333 0.6667 0.1572
Tm 0.0000 0.0000 0.0000
Tm 0.6667 0.3333 0.2544
Tm 0.3333 0.6667 0.7456

no.,electronic total energy (eV per cell)
1,-23.000
2,-31.281
3,-103.324